Record 1
YPPb2: optimized geometry, PBE-GGA.

Structure (POSCAR):
```
YPPb2
1.0
9.0755 0.0000 0.0000
0.0000 9.0755 0.0000
0.0000 0.0000 5.6569
Y P Pb
4 4 8
direct
0.0000 0.0000 0.0000
0.0000 0.5000 0.2500
0.5000 0.0000 0.7500
0.5000 0.5000 0.5000
0.0000 0.0000 0.5000
0.0000 0.5000 0.7500
0.5000 0.0000 0.2500
0.5000 0.5000 0.0000
0.1777 0.2500 0.6250
0.2500 0.6777 0.8750
0.2500 0.8223 0.3750
0.3223 0.2500 0.1250
0.6777 0.7500 0.1250
0.7500 0.1777 0.3750
0.7500 0.3223 0.8750
0.8223 0.7500 0.6250
```

Record 2
Y3PPb: optimized geometry, PBE-GGA.

Relative energy among the computed polymorphs in eV per atom: 0.397

Structure (POSCAR):
```
Y3PPb
1.0
0.0000 6.8873 6.8873
6.8873 0.0000 6.8873
6.8873 6.8873 0.0000
Y P Pb
12 4 4
direct
0.0890 0.0890 0.6610
0.0890 0.6610 0.0890
0.0890 0.6610 0.6610
0.3390 0.3390 0.9110
0.3390 0.9110 0.3390
0.3390 0.9110 0.9110
0.6610 0.0890 0.0890
0.6610 0.0890 0.6610
0.6610 0.6610 0.0890
0.9110 0.3390 0.3390
0.9110 0.3390 0.9110
0.9110 0.9110 0.3390
0.0000 0.0000 0.0000
0.0000 0.0000 0.5000
0.0000 0.5000 0.0000
0.5000 0.0000 0.0000
0.0000 0.5000 0.5000
0.5000 0.0000 0.5000
0.5000 0.5000 0.0000
0.5000 0.5000 0.5000
```

Record 3
YPPb3: optimized geometry, PBE-GGA.

Relative energy among the computed polymorphs in eV per atom: 0.000

Structure (POSCAR):
```
YPPb3
1.0
5.4090 0.0000 0.0000
0.0000 5.4090 0.0000
0.0000 0.0000 5.4090
Y P Pb
1 1 3
direct
0.0000 0.0000 0.0000
0.5000 0.5000 0.5000
0.0000 0.5000 0.5000
0.5000 0.0000 0.5000
0.5000 0.5000 0.0000
```

Record 4
YPPb2: optimized geometry, PBE-GGA.

Structure (POSCAR):
```
YPPb2
1.0
4.2490 0.0000 0.0000
0.0000 4.3254 0.0000
-1.7307 0.0000 5.9090
Y P Pb
1 1 2
direct
0.0000 0.0000 0.0000
0.5000 0.5000 0.0000
0.0000 0.5000 0.5000
0.5000 0.0000 0.5000
```

Record 5
YPPb4: optimized geometry, PBE-GGA.

Structure (POSCAR):
```
YPPb4
1.0
0.0000 4.4650 4.4650
4.4650 0.0000 4.4650
4.4650 4.4650 0.0000
Y P Pb
1 1 4
direct
0.0000 0.0000 0.0000
0.7500 0.7500 0.7500
0.3750 0.3750 0.3750
0.3750 0.3750 0.8751
0.3750 0.8751 0.3750
0.8751 0.3750 0.3750
```

Record 6
YPPb2: optimized geometry, PBE-GGA.

Structure (POSCAR):
```
YPPb2
1.0
3.9530 0.0000 0.0000
0.0000 5.9067 0.0000
0.0000 0.0000 9.3024
Y P Pb
2 2 4
direct
0.0000 0.0000 0.0000
0.5000 0.5000 0.0000
0.0000 0.0000 0.5000
0.5000 0.5000 0.5000
0.0000 0.5000 0.2811
0.0000 0.5000 0.7189
0.5000 0.0000 0.2811
0.5000 0.0000 0.7189
```

| no. | formation energy from the elements (kJ per mole of atoms) | calculated volume (Å³/cell) |
| --- | --- | --- |
| 1 | -12.0 | 465.9 |
| 2 | -49.9 | 653.4 |
| 3 | 30.5 | 158.3 |
| 4 | -26.1 | 108.6 |
| 5 | 26.4 | 178.0 |
| 6 | 15.2 | 217.2 |